Entry 1:
LaNiC2: relaxed, GGA-PBEsol.

DOS at the Fermi energy: 3.4 states/eV/cell
Formation enthalpy at 0 K: 1.12 eV per atom

abc: 4.143 4.143 4.143
angles: 60.00 60.00 60.00
Element x y z (fractional)
Ni 0.000 0.000 0.000
C 0.250 0.250 0.250
C 0.750 0.750 0.750
La 0.500 0.500 0.500

---

Entry 2:
ZrScCu: relaxed, GGA-PBEsol.

DOS at the Fermi energy: 4.9 states/eV/cell
Formation enthalpy at 0 K: -0.11 eV per atom

abc: 3.145 3.145 6.068
angles: 105.02 105.02 90.00
Element x y z (fractional)
Sc 0.651 0.651 0.303
Zr 0.348 0.348 0.695
Cu 0.001 0.001 0.002

---

Entry 3:
Ta2V3Cu: relaxed, GGA-PBEsol.

DOS at the Fermi energy: 12.4 states/eV/cell
Formation enthalpy at 0 K: -0.04 eV per atom

abc: 4.880 4.880 8.296
angles: 90.00 90.00 120.00
Element x y z (fractional)
Ta 0.333 0.667 0.059
Ta 0.667 0.333 0.941
Ta 0.667 0.333 0.559
Ta 0.333 0.667 0.441
V 0.827 0.173 0.250
V 0.346 0.173 0.250
V 0.827 0.654 0.250
V 0.173 0.827 0.750
V 0.654 0.827 0.750
V 0.173 0.346 0.750
Cu 0.000 0.000 0.000
Cu 0.000 0.000 0.500

---

Entry 4:
Te2W3S4: relaxed, GGA-PBEsol.

E_form (uncorrected): -554 meV per atom
DOS at the Fermi energy: 0.5 states/eV/cell
Energy above the most stable polymorph in this dataset: 0.00 eV per formula unit

abc: 3.251 3.251 20.432
angles: 90.00 90.00 120.00
Element x y z (fractional)
Te 0.000 0.000 0.906
Te 0.000 0.000 0.094
W 0.000 0.000 0.327
W 0.000 0.000 0.673
W 0.667 0.333 0.000
S 0.667 0.333 0.402
S 0.667 0.333 0.748
S 0.667 0.333 0.252
S 0.667 0.333 0.598

---

Entry 5:
MoSeBr2: relaxed, GGA-PBEsol.

E_form (uncorrected): 580 meV per atom
DOS at the Fermi energy: 1.8 states/eV/cell
Energy above the most stable polymorph in this dataset: 1.50 eV per formula unit

abc: 4.788 4.791 4.788
angles: 119.97 90.00 119.97
Element x y z (fractional)
Br 0.000 0.000 0.000
Br 0.750 0.500 0.250
Mo 0.500 0.000 0.500
Se 0.250 0.500 0.750

---

Entry 6:
K2Al: relaxed, GGA-PBEsol.

DOS at the Fermi energy: 1.5 states/eV/cell
Formation enthalpy at 0 K: 0.39 eV per atom

abc: 3.346 5.871 6.533
angles: 116.70 104.84 90.00
Element x y z (fractional)
K 0.341 0.341 0.682
K 0.659 0.659 0.318
Al 0.000 0.000 0.000

---

Entry 7:
ZrScSe2: relaxed, GGA-PBEsol.

E_form (uncorrected): -1465 meV per atom
DOS at the Fermi energy: 1.3 states/eV/cell
Energy above the most stable polymorph in this dataset: 0.18 eV per formula unit

abc: 3.645 3.645 5.950
angles: 90.00 90.00 90.00
Element x y z (fractional)
Sc 0.500 0.500 0.795
Zr 0.000 0.000 0.459
Se 0.000 0.000 0.926
Se 0.500 0.500 0.320

---

Entry 8:
MnBeTcPd2: relaxed, GGA-PBEsol.

DOS at the Fermi energy: 4.6 states/eV/cell
Formation enthalpy at 0 K: 1.56 eV per atom

abc: 4.240 4.733 4.733
angles: 90.00 90.00 90.00
Element x y z (fractional)
Be 0.500 0.500 0.500
Mn 0.500 0.000 0.000
Tc 0.000 0.000 0.000
Pd 0.000 0.000 0.500
Pd 0.000 0.500 0.000

---

Entry 9:
Zr3Ni: relaxed, GGA-PBEsol.

DOS at the Fermi energy: 4.4 states/eV/cell
Formation enthalpy at 0 K: -0.18 eV per atom

abc: 3.175 5.186 5.590
angles: 117.64 106.50 90.00
Element x y z (fractional)
Ni 0.000 0.025 0.000
Zr 0.295 0.657 0.591
Zr 0.500 0.418 0.000
Zr 0.705 0.066 0.409

---

Entry 10:
CaOsO3: relaxed, GGA-PBEsol.

E_form (uncorrected): -1770 meV per atom
DOS at the Fermi energy: 15.3 states/eV/cell

abc: 5.281 5.602 7.658
angles: 90.00 90.00 90.00
Element x y z (fractional)
Ca 0.019 0.438 0.250
Ca 0.519 0.062 0.750
Ca 0.481 0.938 0.250
Ca 0.981 0.562 0.750
Os 0.000 0.000 0.000
Os 0.500 0.500 0.000
Os 0.500 0.500 0.500
Os 0.000 0.000 0.500
O 0.306 0.201 0.449
O 0.806 0.299 0.551
O 0.194 0.701 0.051
O 0.694 0.799 0.949
O 0.694 0.799 0.551
O 0.194 0.701 0.449
O 0.806 0.299 0.949
O 0.306 0.201 0.051
O 0.104 0.965 0.750
O 0.604 0.535 0.250
O 0.396 0.465 0.750
O 0.896 0.035 0.250

---

Entry 11:
CdHgAu2: relaxed, GGA-PBEsol.

DOS at the Fermi energy: 1.1 states/eV/cell
Formation enthalpy at 0 K: -0.05 eV per atom

abc: 4.716 4.716 4.716
angles: 60.00 60.00 60.00
Element x y z (fractional)
Au 0.250 0.250 0.250
Au 0.750 0.750 0.750
Hg 0.500 0.500 0.500
Cd 0.000 0.000 0.000

---

Entry 12:
Pr2WC2: relaxed, GGA-PBEsol.

DOS at the Fermi energy: 9.6 states/eV/cell
Formation enthalpy at 0 K: -0.21 eV per atom

abc: 5.790 5.790 10.394
angles: 90.00 90.00 90.00
Element x y z (fractional)
Pr 0.305 0.695 0.157
Pr 0.695 0.305 0.843
Pr 0.805 0.805 0.343
Pr 0.195 0.195 0.657
Pr 0.695 0.305 0.157
Pr 0.305 0.695 0.843
Pr 0.195 0.195 0.343
Pr 0.805 0.805 0.657
W 0.677 0.323 0.500
W 0.323 0.677 0.500
W 0.823 0.823 0.000
W 0.177 0.177 0.000
C 0.000 0.000 0.859
C 0.500 0.500 0.641
C 0.500 0.500 0.359
C 0.500 0.000 0.000
C 0.500 0.000 0.500
C 0.000 0.500 0.000
C 0.000 0.500 0.500
C 0.000 0.000 0.141